(1)
Material: Pr2TcP
Method: DFT, PBE
State: optimized geometry

Computed properties:
For the size of the total moment, the calculation gives 0.362 μB/atom. The formation energy is 25.1 kJ/mol of atoms. The value obtained for the density is 5.808 g/cm3.

```
4
Lattice="1.945 1.123 8.963 -1.945 1.123 8.963 0.000 -2.246 8.963" Properties=species:S:1:pos:R:3 pbc="T T T"
Pr 0.000 0.000 2.729
Pr 0.000 0.000 24.159
Tc 0.000 0.000 0.000
P 0.000 0.000 13.444
```



(2)
Material: PrTc4P2
Method: DFT, PBE
State: optimized geometry

Computed properties:
For the size of the total moment, the calculation gives 0.000 μB/atom. The formation energy is -66.5 kJ/mol of atoms. The value obtained for the density is 8.643 g/cm3.

```
7
Lattice="2.039 -6.929 0.000 2.039 6.929 0.000 0.000 0.000 4.044" Properties=species:S:1:pos:R:3 pbc="T T T"
Pr 0.000 0.000 0.000
Tc 2.039 4.362 2.022
Tc 2.039 2.673 0.000
Tc 2.039 -2.673 0.000
Tc 2.039 -4.362 2.022
P 2.039 1.252 2.022
P 2.039 -1.252 2.022
```



(3)
Material: PrTc4P3
Method: DFT, PBE
State: optimized geometry

Computed properties:
For the size of the total moment, the calculation gives 0.000 μB/atom. The formation energy is -55.2 kJ/mol of atoms. The value obtained for the density is 7.803 g/cm3.

```
8
Lattice="4.068 0.000 0.000 0.000 4.068 0.000 0.000 0.000 8.047" Properties=species:S:1:pos:R:3 pbc="T T T"
Pr 0.000 0.000 0.000
Tc 0.000 2.034 2.681
Tc 0.000 2.034 5.366
Tc 2.034 0.000 2.681
Tc 2.034 0.000 5.366
P 0.000 0.000 4.023
P 2.034 2.034 1.463
P 2.034 2.034 6.584
```



(4)
Material: PrTc3P3
Method: DFT, PBE
State: optimized geometry

Computed properties:
For the size of the total moment, the calculation gives 0.000 μB/atom. The formation energy is -59.5 kJ/mol of atoms. The value obtained for the density is 6.520 g/cm3.

```
14
Lattice="3.354 1.937 6.897 -3.354 1.937 6.897 0.000 -3.873 6.897" Properties=species:S:1:pos:R:3 pbc="T T T"
Pr 0.000 0.000 3.438
Pr 0.000 0.000 17.254
Tc -1.324 -2.053 7.792
Tc -2.440 0.120 12.900
Tc -1.116 2.173 7.792
Tc 1.116 -2.173 12.900
Tc 2.440 -0.120 7.792
Tc 1.324 2.053 12.900
P -1.986 0.088 8.382
P -1.070 -1.676 12.310
P 0.916 -1.764 8.382
P -0.916 1.764 12.310
P 1.070 1.676 8.382
P 1.986 -0.088 12.310
```



(5)
Material: Pr2Tc12P7
Method: DFT, PBE
State: optimized geometry

Computed properties:
For the size of the total moment, the calculation gives 0.000 μB/atom. The formation energy is -55.2 kJ/mol of atoms. The value obtained for the density is 8.706 g/cm3.

```
21
Lattice="9.641 0.000 0.000 -4.820 8.349 0.000 0.000 0.000 3.968" Properties=species:S:1:pos:R:3 pbc="T T T"
Pr 0.000 0.000 0.000
Pr 0.000 5.566 1.984
Tc -3.078 6.383 1.984
Tc -0.862 3.138 0.000
Tc 0.831 2.492 1.984
Tc -1.672 7.527 0.000
Tc 2.777 1.802 0.000
Tc 4.700 0.987 1.984
Tc 3.325 3.785 1.984
Tc 2.534 6.034 0.000
Tc 2.247 7.823 1.984
Tc 6.691 1.504 0.000
Tc 4.993 5.043 0.000
Tc 6.435 3.577 1.984
P -2.283 5.090 0.000
P 2.327 0.475 1.984
P 1.554 3.828 0.000
P 0.729 7.781 0.000
P 4.820 2.783 0.000
P 4.068 6.097 1.984
P 8.066 1.777 1.984
```



(6)
Material: Pr6Te5P
Method: DFT, PBE
State: optimized geometry

Computed properties:
As for the energy relative to the elements, uncorrected: -1504 meV per atom. For the size of the total moment, the calculation gives 0.000 μB/atom. The value obtained for the density is 6.549 g/cm3.

```
12
Lattice="3.889 -6.735 0.000 3.889 6.735 0.000 -2.575 0.000 7.330" Properties=species:S:1:pos:R:3 pbc="T T T"
Pr -0.117 2.028 5.332
Pr 1.041 0.000 1.953
Pr -0.117 -2.028 5.332
Pr 5.321 2.028 1.998
Pr 4.162 0.000 5.376
Pr 5.321 -2.028 1.998
Te 3.889 4.371 0.000
Te 2.602 2.223 3.665
Te 3.889 0.000 0.000
Te 2.602 -2.223 3.665
Te 3.889 -4.371 0.000
P -1.288 0.000 3.665
```



(7)
Material: Pr5Te4P
Method: DFT, PBE
State: optimized geometry

Computed properties:
As for the energy relative to the elements, uncorrected: -1472 meV per atom. For the size of the total moment, the calculation gives 0.000 μB/atom. The value obtained for the density is 6.529 g/cm3.

```
10
Lattice="-2.216 2.216 16.132 2.216 -2.216 16.132 2.216 2.216 -16.132" Properties=species:S:1:pos:R:3 pbc="T T T"
Pr 0.000 0.000 0.000
Pr 0.000 0.000 6.720
Pr 0.000 0.000 13.329
Pr 0.000 0.000 18.935
Pr 0.000 0.000 25.544
Te 0.000 0.000 3.299
Te 0.000 0.000 9.939
Te 0.000 0.000 22.325
Te 0.000 0.000 28.965
P 0.000 0.000 16.132
```



(8)
Material: Pr8TeP6
Method: DFT, PBE
State: optimized geometry

Computed properties:
As for the energy relative to the elements, uncorrected: -1257 meV per atom. For the size of the total moment, the calculation gives 0.000 μB/atom. The value obtained for the density is 5.449 g/cm3.

```
15
Lattice="10.826 0.000 0.000 -5.413 9.375 0.000 0.000 0.000 4.326" Properties=species:S:1:pos:R:3 pbc="T T T"
Pr -3.336 6.419 1.108
Pr 1.521 3.276 1.108
Pr 0.000 6.250 3.240
Pr 3.598 0.321 3.217
Pr 1.815 9.055 1.108
Pr 5.413 3.125 1.085
Pr 3.891 6.099 3.217
Pr 8.749 2.956 3.217
Te 0.000 0.000 2.163
P -1.108 4.484 1.061
P -0.976 8.093 1.061
P 3.329 3.202 3.265
P 2.084 6.174 1.061
P 6.388 1.282 3.265
P 6.521 4.891 3.265
```



(9)
Material: Pr7Te4P4
Method: DFT, PBE
State: optimized geometry

Computed properties:
As for the energy relative to the elements, uncorrected: -1319 meV per atom. For the size of the total moment, the calculation gives 0.039 μB/atom. The value obtained for the density is 6.073 g/cm3.

```
30
Lattice="-7.641 7.641 3.794 7.641 -7.641 3.794 7.641 7.641 -3.794" Properties=species:S:1:pos:R:3 pbc="T T T"
Pr 4.389 0.000 0.000
Pr 10.894 0.000 0.000
Pr 7.641 2.045 0.000
Pr 0.000 0.000 1.845
Pr 4.367 4.367 0.000
Pr 3.275 -3.275 3.794
Pr 0.000 4.389 0.000
Pr 2.045 7.641 0.000
Pr 5.596 0.000 3.794
Pr 0.000 10.894 0.000
Pr -3.275 3.275 3.794
Pr 3.275 3.275 3.794
Pr 0.000 0.000 5.743
Pr 0.000 5.596 3.794
Te 1.950 1.950 0.000
Te 5.691 -5.691 3.794
Te 7.641 5.058 0.000
Te 5.058 7.641 0.000
Te 2.583 0.000 3.794
Te 0.000 2.583 3.794
Te -5.691 5.691 3.794
Te 5.691 5.691 3.794
P 5.435 -2.206 1.897
P 9.848 -2.206 1.897
P 5.435 2.206 1.897
P 9.848 2.206 1.897
P -2.206 5.435 1.897
P 2.206 5.435 1.897
P -2.206 9.848 1.897
P 2.206 9.848 1.897
```



(10)
Material: Pr6Te4P
Method: DFT, PBE
State: optimized geometry

Computed properties:
As for the energy relative to the elements, uncorrected: -1234 meV per atom. For the size of the total moment, the calculation gives 0.001 μB/atom. The value obtained for the density is 6.924 g/cm3.

```
22
Lattice="8.539 0.000 0.000 0.000 8.539 0.000 0.000 0.000 9.122" Properties=species:S:1:pos:R:3 pbc="T T T"
Pr 0.000 0.000 1.775
Pr 0.000 0.000 7.347
Pr 1.156 2.701 4.561
Pr 1.568 3.114 0.000
Pr 2.701 7.384 4.561
Pr 3.114 6.971 0.000
Pr 4.270 4.270 2.786
Pr 4.270 4.270 6.336
Pr 5.426 1.568 0.000
Pr 5.838 1.156 4.561
Pr 6.971 5.426 0.000
Pr 7.384 5.838 4.561
Te 1.252 5.522 2.281
Te 1.252 5.522 6.842
Te 3.018 1.252 2.281
Te 3.018 1.252 6.842
Te 5.522 7.288 2.281
Te 5.522 7.288 6.842
Te 7.288 3.018 2.281
Te 7.288 3.018 6.842
P 0.000 0.000 4.561
P 4.270 4.270 0.000
```



(11)
Material: Pr4TeP3
Method: DFT, PBE
State: optimized geometry

Computed properties:
As for the energy relative to the elements, uncorrected: -1562 meV per atom. For the size of the total moment, the calculation gives 0.000 μB/atom. The value obtained for the density is 5.819 g/cm3.

```
16
Lattice="4.260 0.000 0.000 -2.130 3.689 0.000 0.000 0.000 28.479" Properties=species:S:1:pos:R:3 pbc="T T T"
Pr 0.000 0.000 4.932
Pr 0.000 0.000 9.308
Pr 0.000 0.000 19.172
Pr 0.000 0.000 23.548
Pr 0.000 2.459 1.639
Pr 0.000 2.459 12.600
Pr 2.130 1.230 15.879
Pr 2.130 1.230 26.840
Te 0.000 2.459 7.120
Te 2.130 1.230 21.360
P 0.000 0.000 0.000
P 0.000 0.000 14.240
P 0.000 2.459 17.655
P 0.000 2.459 25.065
P 2.130 1.230 3.415
P 2.130 1.230 10.825
```



(12)
Material: Pr3TeP2
Method: DFT, PBE
State: optimized geometry

Computed properties:
As for the energy relative to the elements, uncorrected: -1103 meV per atom. For the size of the total moment, the calculation gives 0.000 μB/atom. The value obtained for the density is 5.194 g/cm3.

```
12
Lattice="-3.792 5.917 4.363 3.792 -5.917 4.363 3.792 5.917 -4.363" Properties=species:S:1:pos:R:3 pbc="T T T"
Pr 1.760 0.000 0.000
Pr 5.823 0.000 0.000
Pr -1.896 2.958 2.181
Pr 1.760 5.917 0.000
Pr 1.896 2.958 2.181
Pr 2.032 0.000 4.363
Te 3.792 -2.958 3.727
Te 0.000 8.875 0.636
P 3.792 0.726 1.849
P 0.000 0.726 2.514
P 3.792 5.191 1.849
P 0.000 5.191 2.514
```



(13)
Material: Pr2ThTe2P2
Method: DFT, PBE
State: optimized geometry

Computed properties:
As for the energy relative to the elements, uncorrected: -1070 meV per atom. For the size of the total moment, the calculation gives 0.000 μB/atom. The value obtained for the density is 5.969 g/cm3.

```
7
Lattice="-2.687 2.687 8.004 2.687 -2.687 8.004 2.687 2.687 -8.004" Properties=species:S:1:pos:R:3 pbc="T T T"
Pr 0.000 0.000 1.811
Pr 0.000 0.000 14.197
Th 0.000 0.000 8.004
Te 0.000 0.000 4.927
Te 0.000 0.000 11.082
P 2.687 0.000 0.000
P 0.000 2.687 0.000
```



(14)
Material: Pr6TlTe3P2
Method: DFT, PBE
State: optimized geometry

Computed properties:
As for the energy relative to the elements, uncorrected: -1322 meV per atom. For the size of the total moment, the calculation gives 0.000 μB/atom. The value obtained for the density is 6.714 g/cm3.

```
12
Lattice="9.718 -2.174 0.000 9.718 2.174 0.000 -2.271 0.000 8.748" Properties=species:S:1:pos:R:3 pbc="T T T"
Pr -0.378 0.000 2.240
Pr 5.328 0.000 3.816
Pr 4.422 0.000 7.783
Pr 12.743 0.000 0.964
Pr 11.838 0.000 4.931
Pr 17.544 0.000 6.508
Tl 9.718 0.000 0.000
Te 1.298 0.000 7.269
Te 8.583 0.000 4.374
Te 15.867 0.000 1.479
P 2.525 0.000 2.946
P 14.641 0.000 5.802
```



(15)
Material: Pr4TlTe2P
Method: DFT, PBE
State: optimized geometry

Computed properties:
As for the energy relative to the elements, uncorrected: -1198 meV per atom. For the size of the total moment, the calculation gives 0.000 μB/atom. The value obtained for the density is 6.955 g/cm3.

```
8
Lattice="7.778 0.000 0.000 0.000 4.369 0.000 -2.477 0.000 7.406" Properties=species:S:1:pos:R:3 pbc="T T T"
Pr 1.220 0.000 1.650
Pr -0.007 2.185 5.630
Pr 5.308 2.185 1.775
Pr 4.081 0.000 5.755
Tl 3.889 0.000 0.000
Te -1.238 0.000 3.703
Te 2.651 2.185 3.703
P 0.000 2.185 0.000
```



(16)
Material: PrTmTeP
Method: DFT, PBE
State: optimized geometry

Computed properties:
As for the energy relative to the elements, uncorrected: -1517 meV per atom. For the size of the total moment, the calculation gives 0.000 μB/atom. The value obtained for the density is 7.161 g/cm3.

```
4
Lattice="2.068 1.194 7.331 -2.068 1.194 7.331 0.000 -2.388 7.331" Properties=species:S:1:pos:R:3 pbc="T T T"
Pr 0.000 0.000 0.000
Tm 0.000 0.000 17.751
Te 0.000 0.000 5.093
P 0.000 0.000 9.036
```



(17)
Material: Pr2ThP3
Method: DFT, PBE
State: optimized geometry

Computed properties:
For the size of the total moment, the calculation gives 0.000 μB/atom. The formation energy is -150.3 kJ/mol of atoms. The value obtained for the density is 6.493 g/cm3.

```
6
Lattice="-2.093 2.958 6.266 2.093 -2.958 6.266 2.093 2.958 -6.266" Properties=species:S:1:pos:R:3 pbc="T T T"
Pr 0.000 0.000 2.097
Pr 0.000 0.000 10.434
Th 0.000 0.000 6.266
P 2.093 0.000 0.000
P 2.093 0.000 4.238
P 0.000 2.958 2.027
```



(18)
Material: PrTh4P5
Method: DFT, PBE
State: optimized geometry

Computed properties:
For the size of the total moment, the calculation gives 0.000 μB/atom. The formation energy is -149.7 kJ/mol of atoms. The value obtained for the density is 8.027 g/cm3.

```
10
Lattice="-4.643 4.643 2.937 4.643 -4.643 2.937 4.643 4.643 -2.937" Properties=species:S:1:pos:R:3 pbc="T T T"
Pr 0.000 0.000 0.000
Th 3.703 1.862 0.000
Th 2.781 -0.940 2.937
Th 1.862 5.582 0.000
Th 0.940 2.781 2.937
P 6.472 0.936 0.000
P 0.936 2.814 0.000
P 0.000 0.000 2.937
P 3.706 1.829 2.937
P -1.829 3.706 2.937
```



(19)
Material: PrTh4P6
Method: DFT, PBE
State: optimized geometry

Computed properties:
For the size of the total moment, the calculation gives 0.000 μB/atom. The formation energy is -117.4 kJ/mol of atoms. The value obtained for the density is 7.762 g/cm3.

```
22
Lattice="5.729 3.308 4.722 -5.729 3.308 4.722 0.000 -6.616 4.722" Properties=species:S:1:pos:R:3 pbc="T T T"
Pr 0.000 0.000 0.000
Pr 0.000 0.000 7.083
Th -3.537 0.489 5.902
Th 0.000 0.000 3.541
Th -2.192 -2.819 8.263
Th 1.346 -3.308 5.902
Th -1.346 3.308 8.263
Th 2.192 2.819 5.902
Th 0.000 0.000 10.624
Th 3.537 -0.489 8.263
P -4.859 -1.220 7.793
P -1.373 -4.818 6.372
P -1.373 -1.797 5.432
P -3.486 3.598 6.372
P -0.870 2.088 5.432
P -2.243 0.290 8.733
P 2.243 -0.291 5.432
P 0.870 -2.088 8.733
P 3.486 -3.598 7.793
P 1.373 1.797 8.733
P 1.373 4.818 7.793
P 4.859 1.220 6.372
```



(20)
Material: Pr2Th2P5
Method: DFT, PBE
State: optimized geometry

Computed properties:
For the size of the total moment, the calculation gives 0.000 μB/atom. The formation energy is -122.5 kJ/mol of atoms. The value obtained for the density is 6.869 g/cm3.

```
18
Lattice="7.198 -3.879 0.000 7.198 3.879 0.000 0.000 0.000 7.799" Properties=species:S:1:pos:R:3 pbc="T T T"
Pr 7.198 2.674 6.562
Pr 7.198 1.205 2.662
Pr 7.198 -1.205 5.137
Pr 7.198 -2.674 1.238
Th 2.817 0.000 3.900
Th 4.380 0.000 0.000
Th 10.015 0.000 0.000
Th 11.578 0.000 3.900
P 0.000 0.000 3.900
P 5.145 2.656 1.203
P 5.145 1.223 5.102
P 9.250 2.656 1.203
P 9.250 1.223 5.102
P 7.198 0.000 0.000
P 5.145 -1.223 2.697
P 5.145 -2.656 6.597
P 9.250 -1.223 2.697
P 9.250 -2.656 6.597
```